(1)
VASP calculation (PBE-GGA) on crystalline Pr6Mg2Pd at its relaxed geometry.

Summary:
Formation energy from the elements ... -0.081 eV/atom
Calculated volume ... 31.87 Å³/atom
Raw total energy ... -4.20 eV per atom

```
data_Pr6Mg2Pd
_symmetry_space_group_name_H-M 'P 1 21/c 1'
_symmetry_Int_Tables_number 14
_symmetry_space_group_name_Hall '-P 2ybc'
_cell_length_a 6.541
_cell_length_b 8.521
_cell_length_c 11.204
_cell_angle_alpha 90.00
_cell_angle_beta 113.28
_cell_angle_gamma 90.00
loop_
_atom_site_label
_atom_site_type_symbol
_atom_site_fract_x
_atom_site_fract_y
_atom_site_fract_z
Pr1 Pr 0.109 0.041 0.249
Pr2 Pr 0.146 0.707 0.036
Pr3 Pr 0.388 0.156 0.018
Mg1 Mg 0.375 0.093 0.723
Pd1 Pd 0.500 0.000 0.500
```

(2)
VASP calculation (PBE-GGA) on crystalline PrMgPd at its relaxed geometry.

Summary:
Formation energy from the elements ... -0.612 eV/atom
Calculated volume ... 24.06 Å³/atom
Raw total energy ... -4.47 eV per atom

```
data_PrMgPd
_symmetry_space_group_name_H-M 'P m m a'
_symmetry_Int_Tables_number 51
_symmetry_space_group_name_Hall '-P 2a 2a'
_cell_length_a 13.736
_cell_length_b 4.087
_cell_length_c 7.712
_cell_angle_alpha 90.00
_cell_angle_beta 90.00
_cell_angle_gamma 90.00
loop_
_atom_site_label
_atom_site_type_symbol
_atom_site_fract_x
_atom_site_fract_y
_atom_site_fract_z
Pr1 Pr 0.042 0.000 0.237
Pr2 Pr 0.250 0.000 0.863
Mg1 Mg 0.130 0.500 0.570
Mg2 Mg 0.250 0.500 0.215
Pd1 Pd 0.098 0.500 0.946
Pd2 Pd 0.250 0.000 0.451
```

(3)
VASP calculation (PBE-GGA) on crystalline Pr3Mg7Pd4 at its relaxed geometry.

Summary:
Formation energy from the elements ... -0.519 eV/atom
Calculated volume ... 22.48 Å³/atom
Raw total energy ... -3.82 eV per atom

```
data_Pr3Mg7Pd4
_symmetry_space_group_name_H-M 'C 1 2/m 1'
_symmetry_Int_Tables_number 12
_symmetry_space_group_name_Hall '-C 2y'
_cell_length_a 16.232
_cell_length_b 4.479
_cell_length_c 10.463
_cell_angle_alpha 90.00
_cell_angle_beta 124.15
_cell_angle_gamma 90.00
loop_
_atom_site_label
_atom_site_type_symbol
_atom_site_fract_x
_atom_site_fract_y
_atom_site_fract_z
Pr1 Pr 0.000 0.000 0.000
Pr2 Pr 0.195 0.500 0.711
Mg1 Mg 0.000 0.000 0.500
Mg2 Mg 0.013 0.500 0.299
Mg3 Mg 0.166 0.000 0.429
Mg4 Mg 0.180 0.500 0.014
Pd1 Pd 0.108 0.000 0.824
Pd2 Pd 0.165 0.500 0.265
```

(4)
VASP calculation (PBE-GGA) on crystalline Pr4MgPd at its relaxed geometry.

Summary:
Formation energy from the elements ... -0.200 eV/atom
Energy relative to the lowest polymorph listed for this composition ... 107.8 meV per atom
Calculated volume ... 30.79 Å³/atom
Raw total energy ... -4.52 eV per atom

```
data_Pr4MgPd
_symmetry_space_group_name_H-M 'C 1 2/c 1'
_symmetry_Int_Tables_number 15
_symmetry_space_group_name_Hall '-C 2yc'
_cell_length_a 9.163
_cell_length_b 14.050
_cell_length_c 6.086
_cell_angle_alpha 90.00
_cell_angle_beta 109.41
_cell_angle_gamma 90.00
loop_
_atom_site_label
_atom_site_type_symbol
_atom_site_fract_x
_atom_site_fract_y
_atom_site_fract_z
Pr1 Pr 0.111 0.186 0.065
Pr2 Pr 0.221 0.417 0.366
Mg1 Mg 0.000 0.386 0.750
Pd1 Pd 0.000 0.002 0.750
```

(5)
VASP calculation (PBE-GGA) on crystalline Pr3Mg2Pd4 at its relaxed geometry.

Summary:
Formation energy from the elements ... -0.689 eV/atom
Calculated volume ... 23.29 Å³/atom
Raw total energy ... -4.94 eV per atom

```
data_Pr3Mg2Pd4
_symmetry_space_group_name_H-M 'C 1 2/m 1'
_symmetry_Int_Tables_number 12
_symmetry_space_group_name_Hall '-C 2y'
_cell_length_a 10.441
_cell_length_b 4.376
_cell_length_c 9.220
_cell_angle_alpha 90.00
_cell_angle_beta 95.72
_cell_angle_gamma 90.00
loop_
_atom_site_label
_atom_site_type_symbol
_atom_site_fract_x
_atom_site_fract_y
_atom_site_fract_z
Pr1 Pr 0.000 0.000 0.000
Pr2 Pr 0.126 0.500 0.383
Mg1 Mg 0.176 0.500 0.789
Pd1 Pd 0.085 0.000 0.631
Pd2 Pd 0.212 0.500 0.088
```

(6)
VASP calculation (PBE-GGA) on crystalline PrMg12Pd6 at its relaxed geometry.

Summary:
Formation energy from the elements ... -0.428 eV/atom
Calculated volume ... 20.58 Å³/atom
Raw total energy ... -3.33 eV per atom

```
data_PrMg12Pd6
_symmetry_space_group_name_H-M 'R -3 m'
_symmetry_Int_Tables_number 166
_symmetry_space_group_name_Hall '-R 3 2"'
_cell_length_a 12.1145
_cell_length_b 12.1145
_cell_length_c 9.2309
_cell_angle_alpha 90.00
_cell_angle_beta 90.00
_cell_angle_gamma 120.00
loop_
_atom_site_label
_atom_site_type_symbol
_atom_site_fract_x
_atom_site_fract_y
_atom_site_fract_z
Pr1 Pr 0.0000 0.0000 0.0000
Mg1 Mg 0.0000 0.3809 0.5000
Mg2 Mg 0.0872 0.1744 0.3360
Pd1 Pd 0.0400 0.5200 0.2600
```

(7)
VASP calculation (PBE-GGA) on crystalline Pr4MgPd at its relaxed geometry.

Summary:
Formation energy from the elements ... -0.308 eV/atom
Energy relative to the lowest polymorph listed for this composition ... 0.0 meV per atom
Calculated volume ... 30.98 Å³/atom
Raw total energy ... -4.63 eV per atom

```
data_Pr4MgPd
_symmetry_space_group_name_H-M 'F -4 3 m'
_symmetry_Int_Tables_number 216
_symmetry_space_group_name_Hall 'F -4 2 3'
_cell_length_a 14.381
_cell_length_b 14.381
_cell_length_c 14.381
_cell_angle_alpha 90.00
_cell_angle_beta 90.00
_cell_angle_gamma 90.00
loop_
_atom_site_label
_atom_site_type_symbol
_atom_site_fract_x
_atom_site_fract_y
_atom_site_fract_z
Pr1 Pr 0.000 0.000 0.185
Pr2 Pr 0.058 0.250 0.750
Pr3 Pr 0.099 0.099 0.401
Mg1 Mg 0.171 0.171 0.171
Pd1 Pd 0.107 0.107 0.607
```

(8)
VASP calculation (PBE-GGA) on crystalline Pr2Mg5Pd4 at its relaxed geometry.

Summary:
Formation energy from the elements ... -0.519 eV/atom
Calculated volume ... 21.76 Å³/atom
Raw total energy ... -4.00 eV per atom

```
data_Pr2Mg5Pd4
_symmetry_space_group_name_H-M 'F m m m'
_symmetry_Int_Tables_number 69
_symmetry_space_group_name_Hall '-F 2 2'
_cell_length_a 5.784
_cell_length_b 10.304
_cell_length_c 16.062
_cell_angle_alpha 90.00
_cell_angle_beta 90.00
_cell_angle_gamma 90.00
loop_
_atom_site_label
_atom_site_type_symbol
_atom_site_fract_x
_atom_site_fract_y
_atom_site_fract_z
Pr1 Pr 0.000 0.000 0.144
Mg1 Mg 0.000 0.000 0.500
Mg2 Mg 0.250 0.250 0.000
Mg3 Mg 0.250 0.250 0.250
Pd1 Pd 0.000 0.142 0.366
```